The following is a DFT calculation (GGA-PBE) of crystalline Zn8CdAu2 at its relaxed geometry.

The energy above the most stable polymorph in this dataset is 0 meV/atom. The value obtained for the formation energy is -47 meV/atom.

abc: 7.2760 7.2760 6.8696
angles: 100.06 100.06 30.48
Closest atoms and distances in Å follow each position.
Atoms (fractional coordinates):
Zn (0.0398, 0.0398, 0.2130)  8 Zn 2.66-2.95, 1 Au 2.69, 2 Cd 2.87
Zn (0.1399, 0.1399, 0.7158)  6 Zn 2.66-2.94, 2 Au 2.71, 2 Cd 2.94
Zn (0.3165, 0.3165, 0.5802)  1 Cd 2.73, 3 Au 2.74-2.93, 7 Zn 2.76-2.95
Zn (0.4059, 0.4059, 0.0269)  7 Zn 2.72-2.82, 3 Au 2.81-2.85
Zn (0.5941, 0.5941, 0.9731)  7 Zn 2.72-2.82, 3 Au 2.81-2.85
Zn (0.6835, 0.6835, 0.4198)  1 Cd 2.73, 3 Au 2.74-2.93, 7 Zn 2.76-2.95
Zn (0.8601, 0.8601, 0.2842)  6 Zn 2.66-2.94, 2 Au 2.71, 2 Cd 2.94
Zn (0.9602, 0.9602, 0.7870)  8 Zn 2.66-2.95, 1 Au 2.69, 2 Cd 2.87
Cd (0.5000, 0.5000, 0.5000)  10 Zn 2.73-2.94
Au (0.2255, 0.2255, 0.1619)  9 Zn 2.69-2.93
Au (0.7745, 0.7745, 0.8381)  9 Zn 2.69-2.93

=====

The following is a DFT calculation (GGA-PBE) of crystalline ZnCdAu at its relaxed geometry.

The energy above the most stable polymorph in this dataset is 113 meV/atom. The value obtained for the formation energy is -43 meV/atom.

abc: 3.0444 3.0444 6.8687
angles: 90.00 90.00 120.00
Closest atoms and distances in Å follow each position.
Atoms (fractional coordinates):
Zn (0.0000, 0.0000, 0.0000)  3 Au 2.73, 3 Cd 2.93, 6 Zn 3.04
Cd (0.3333, 0.6667, 0.6596)  3 Zn 2.93, 3 Au 3.01, 6 Cd 3.04
Au (0.6667, 0.3333, 0.3034)  3 Zn 2.73, 3 Cd 3.01, 6 Au 3.04

=====

The following is a DFT calculation (GGA-PBE) of crystalline ZnCd2Au3 at its relaxed geometry.

The energy above the most stable polymorph in this dataset is 13 meV/atom. The value obtained for the formation energy is -164 meV/atom.

abc: 5.6451 5.6451 8.2789
angles: 90.00 90.00 120.00
Closest atoms and distances in Å follow each position.
Atoms (fractional coordinates):
Zn (0.0000, 0.0000, 0.0000)  6 Au 2.65
Zn (0.0000, 0.0000, 0.5000)  6 Au 2.65
Cd (0.3333, 0.6667, 0.0667)  1 Cd 3.03, 9 Au 3.07-3.20, 3 Zn 3.31
Cd (0.3333, 0.6667, 0.4333)  1 Cd 3.03, 9 Au 3.07-3.20, 3 Zn 3.31
Cd (0.6667, 0.3333, 0.5667)  1 Cd 3.03, 9 Au 3.07-3.20, 3 Zn 3.31
Cd (0.6667, 0.3333, 0.9333)  1 Cd 3.03, 9 Au 3.07-3.20, 3 Zn 3.31
Au (0.1699, 0.3397, 0.7500)  2 Zn 2.65, 4 Au 2.77-2.88
Au (0.1699, 0.8301, 0.7500)  2 Zn 2.65, 4 Au 2.77-2.88
Au (0.3397, 0.1699, 0.2500)  2 Zn 2.65, 4 Au 2.77-2.88
Au (0.6603, 0.8301, 0.7500)  2 Zn 2.65, 4 Au 2.77-2.88
Au (0.8301, 0.1699, 0.2500)  2 Zn 2.65, 4 Au 2.77-2.88
Au (0.8301, 0.6603, 0.2500)  2 Zn 2.65, 4 Au 2.77-2.88

=====

The following is a DFT calculation (GGA-PBE) of crystalline ZnCd3Au at its relaxed geometry.

The energy above the most stable polymorph in this dataset is 0 meV/atom. The value obtained for the formation energy is -25 meV/atom.

abc: 2.9903 9.3257 7.5978
angles: 90.00 90.00 90.00
Closest atoms and distances in Å follow each position.
Atoms (fractional coordinates):
Zn (0.2500, 0.2500, 0.1413)  1 Au 2.73, 6 Cd 2.75-2.87, 2 Zn 2.99
Zn (0.7500, 0.7500, 0.8587)  1 Au 2.73, 6 Cd 2.75-2.87, 2 Zn 2.99
Cd (0.2500, 0.5214, 0.7000)  2 Zn 2.87, 3 Au 2.95-3.02, 4 Cd 2.99-3.12
Cd (0.2500, 0.7500, 0.1628)  2 Zn 2.75, 2 Au 2.96, 2 Cd 2.99
Cd (0.2500, 0.9786, 0.7000)  2 Zn 2.87, 3 Au 2.95-3.02, 4 Cd 2.99-3.12
Cd (0.7500, 0.0214, 0.3000)  2 Zn 2.87, 3 Au 2.95-3.02, 4 Cd 2.99-3.12
Cd (0.7500, 0.2500, 0.8372)  2 Zn 2.75, 2 Au 2.96, 2 Cd 2.99
Cd (0.7500, 0.4786, 0.3000)  2 Zn 2.87, 3 Au 2.95-3.02, 4 Cd 2.99-3.12
Au (0.2500, 0.2500, 0.5008)  1 Zn 2.73, 8 Cd 2.95-3.02, 2 Au 2.99
Au (0.7500, 0.7500, 0.4992)  1 Zn 2.73, 8 Cd 2.95-3.02, 2 Au 2.99

=====

The following is a DFT calculation (GGA-PBE) of crystalline ZnCd2Au at its relaxed geometry.

The value obtained for the formation energy is -83 meV/atom.

abc: 4.5223 5.5551 5.5551
angles: 34.22 90.00 90.00
Closest atoms and distances in Å follow each position.
Atoms (fractional coordinates):
Zn (0.0000, 0.0000, 0.0000)  2 Au 2.67, 5 Cd 2.80-2.98
Cd (0.0000, 0.7364, 0.7364)  3 Zn 2.80-3.00, 4 Au 3.00
Cd (0.5000, 0.4016, 0.4016)  3 Au 2.85-2.95, 4 Zn 2.98
Au (0.5000, 0.1333, 0.1333)  2 Zn 2.67, 3 Cd 2.85-2.95

=====

The following is a DFT calculation (GGA-PBE) of crystalline Zn2CdAu3 at its relaxed geometry.

The value obtained for the formation energy is -196 meV/atom.

abc: 3.1463 3.1463 10.4951
angles: 90.00 90.00 90.00
Closest atoms and distances in Å follow each position.
Atoms (fractional coordinates):
Zn (0.0000, 0.0000, 0.1574)  8 Au 2.74-2.77
Zn (0.0000, 0.0000, 0.8426)  8 Au 2.74-2.77
Cd (0.0000, 0.0000, 0.5000)  8 Au 2.99, 4 Cd 3.15
Au (0.5000, 0.5000, 0.0000)  8 Zn 2.77
Au (0.5000, 0.5000, 0.3098)  4 Zn 2.74, 4 Cd 2.99
Au (0.5000, 0.5000, 0.6902)  4 Zn 2.74, 4 Cd 2.99